Entry 1:
NdPaTc: relaxed, PBE-GGA.

For the calculated formation energy, the calculation gives 970 meV per atom.

The structure belongs to space group F-43m (No. 216); the cell edges are 6.648, 6.648 and 6.648 Å and the angles 90.00°, 90.00° and 90.00°. The distinct sites, in fractional coordinates, are Nd at (0.000, 0.000, 0.000), Pa at (0.250, 0.250, 0.750) and Tc at (0.250, 0.250, 0.250).


Entry 2:
NdThPa: relaxed, PBE-GGA.

For the calculated formation energy, the calculation gives 994 meV per atom. Its excess energy over the best structure of this formula in the dataset is 0 meV/atom.

The structure belongs to space group F-43m (No. 216); the cell edges are 7.492, 7.492 and 7.492 Å and the angles 90.00°, 90.00° and 90.00°. The distinct sites, in fractional coordinates, are Nd at (0.000, 0.000, 0.000), Th at (0.000, 0.000, 0.500) and Pa at (0.250, 0.250, 0.250).